Entry 1:
# Ac2ThIO8

Crystalline Ac2ThIO8 at its relaxed geometry (PBE, Alexandria via LeMat-Bulk).

Lattice parameters (Å, degrees): 4.4592 5.7225 7.5852 90.00 90.00 96.29
Positions (direct):
O 0.3834 0.2030 0.0000
O 0.5719 0.7592 0.5000
O 0.4281 0.2408 0.5000
O 0.9240 0.2190 0.7806
O 0.6166 0.7970 0.0000
O 0.9240 0.2190 0.2194
O 0.0760 0.7810 0.7806
O 0.0760 0.7810 0.2194
I 0.0000 0.0000 0.0000
Th 0.0000 0.0000 0.5000
Ac 0.5000 0.5000 0.2413
Ac 0.5000 0.5000 0.7587

For the uncorrected formation energy, the calculation gives -2.36 eV/atom. The calculation puts the uncorrected energy at -0.521 Ry/atom.

***

Entry 2:
# AcTlI2O

Crystalline AcTlI2O at its relaxed geometry (PBE, Alexandria via LeMat-Bulk).

Lattice parameters (Å, degrees): 4.3416 4.3416 21.5490 90.00 90.00 90.00
Positions (direct):
Ac 0.0000 0.5000 0.4427
Ac 0.5000 0.0000 0.5573
I 0.5000 0.0000 0.9152
I 0.5000 0.0000 0.3538
I 0.0000 0.5000 0.6462
I 0.0000 0.5000 0.0848
O 0.5000 0.5000 0.5000
O 0.0000 0.0000 0.5000
Tl 0.0000 0.5000 0.8525
Tl 0.5000 0.0000 0.1475

For the uncorrected formation energy, the calculation gives -1.87 eV/atom. The calculation puts the uncorrected energy at -0.351 Ry/atom.

***

Entry 3:
# Ac2TlIO8

Crystalline Ac2TlIO8 at its relaxed geometry (PBE, Alexandria via LeMat-Bulk).

Lattice parameters (Å, degrees): 4.9642 5.1386 7.8242 88.27 87.77 94.94
Positions (direct):
O 0.6995 0.7623 0.9574
O 0.7070 0.7069 0.5192
O 0.8023 0.1216 0.1954
O 0.8826 0.2529 0.8397
O 0.3005 0.2377 0.0426
O 0.1174 0.7471 0.1603
O 0.2930 0.2931 0.4808
O 0.1977 0.8784 0.8046
Tl 0.0000 0.0000 0.5000
I 0.0000 0.0000 0.0000
Ac 0.4378 0.4656 0.7636
Ac 0.5622 0.5344 0.2364

For the uncorrected formation energy, the calculation gives -1.71 eV/atom. The calculation puts the uncorrected energy at -0.443 Ry/atom.

***

Entry 4:
# AcTl2IO2

Crystalline AcTl2IO2 at its relaxed geometry (PBE, Alexandria via LeMat-Bulk).

Lattice parameters (Å, degrees): 4.8712 4.8712 7.0932 90.00 90.00 90.00
Positions (direct):
Tl 0.5000 0.5000 0.7627
Tl 0.5000 0.5000 0.2373
O 0.0000 0.5000 0.0000
O 0.5000 0.0000 0.0000
I 0.0000 0.0000 0.5000
Ac 0.0000 0.0000 0.0000

For the uncorrected formation energy, the calculation gives -1.59 eV/atom. The calculation puts the uncorrected energy at -0.365 Ry/atom.

***

Entry 5:
# AcTl2IO6

Crystalline AcTl2IO6 at its relaxed geometry (PBE, Alexandria via LeMat-Bulk).

Lattice parameters (Å, degrees): 6.6429 6.6429 10.9562 72.35 72.35 60.00
Positions (direct):
Ac 0.3918 0.3918 0.8246
Ac 0.6082 0.6082 0.1754
Tl 0.8842 0.8842 0.3474
Tl 0.7613 0.7613 0.7161
Tl 0.2387 0.2387 0.2839
Tl 0.1158 0.1158 0.6526
O 0.1966 0.5945 0.6144
O 0.4055 0.4055 0.3856
O 0.1706 0.1706 0.8912
O 0.8294 0.2324 0.1088
O 0.2324 0.8294 0.1088
O 0.4055 0.8034 0.3856
O 0.1706 0.7676 0.8912
O 0.5945 0.5945 0.6144
O 0.8294 0.8294 0.1088
O 0.8034 0.4055 0.3856
O 0.7676 0.1706 0.8912
O 0.5945 0.1966 0.6144
I 0.0000 0.0000 0.0000
I 0.5000 0.5000 0.5000

For the uncorrected formation energy, the calculation gives -1.23 eV/atom. The calculation puts the uncorrected energy at -0.386 Ry/atom.

***

Entry 6:
# AcTlIO2

Crystalline AcTlIO2 at its relaxed geometry (PBE, Alexandria via LeMat-Bulk).

Lattice parameters (Å, degrees): 4.0462 7.4166 8.6165 94.01 90.00 90.00
Last column: magnetic moment on the atom in μB.
Positions (direct):
Ac 0.7500 0.8762 0.3251  0.01
Ac 0.2500 0.1238 0.6749  0.01
O 0.2500 0.0686 0.3889  0.07
O 0.2500 0.6827 0.3805  0.12
O 0.7500 0.3173 0.6195  0.12
O 0.7500 0.9314 0.6111  0.07
I 0.7500 0.2427 0.0412  0.03
I 0.2500 0.7573 0.9588  0.03
Tl 0.2500 0.3766 0.3202  0.08
Tl 0.7500 0.6234 0.6798  0.08

For the uncorrected formation energy, the calculation gives -1.73 eV/atom. The calculation puts the uncorrected energy at -0.391 Ry/atom.

***

Entry 7:
# AcTlIO6

Crystalline AcTlIO6 at its relaxed geometry (PBE, Alexandria via LeMat-Bulk).

Lattice parameters (Å, degrees): 6.1386 6.1386 9.0261 90.00 90.00 120.00
Positions (direct):
O 0.0736 0.6651 0.8689
O 0.5915 0.6651 0.6311
O 0.0736 0.4085 0.6311
O 0.6651 0.5915 0.1311
O 0.3349 0.4085 0.8689
O 0.6651 0.0736 0.3689
O 0.9264 0.5915 0.3689
O 0.5915 0.9264 0.8689
O 0.9264 0.3349 0.1311
O 0.3349 0.9264 0.6311
O 0.4085 0.3349 0.3689
O 0.4085 0.0736 0.1311
Tl 0.0000 0.0000 0.5000
Tl 0.0000 0.0000 0.0000
Ac 0.3333 0.6667 0.2500
Ac 0.6667 0.3333 0.7500
I 0.6667 0.3333 0.2500
I 0.3333 0.6667 0.7500

For the uncorrected formation energy, the calculation gives -1.19 eV/atom. The calculation puts the uncorrected energy at -0.396 Ry/atom.

***

Entry 8:
# AcTl2IO8

Crystalline AcTl2IO8 at its relaxed geometry (PBE, Alexandria via LeMat-Bulk).

Lattice parameters (Å, degrees): 4.9394 5.3732 7.2073 80.61 85.72 89.24
Positions (direct):
Tl 0.4582 0.4492 0.7480
Tl 0.5418 0.5508 0.2520
I 0.0000 0.0000 0.0000
O 0.1335 0.7793 0.2121
O 0.4066 0.2685 0.4754
O 0.8665 0.2207 0.7879
O 0.7021 0.7671 0.9973
O 0.8121 0.1648 0.1830
O 0.2979 0.2329 0.0027
O 0.5934 0.7315 0.5246
O 0.1879 0.8352 0.8170
Ac 0.0000 0.0000 0.5000

For the uncorrected formation energy, the calculation gives -1.04 eV/atom. The calculation puts the uncorrected energy at -0.383 Ry/atom.

***

Entry 9:
# Ac2TmIO8

Crystalline Ac2TmIO8 at its relaxed geometry (PBE, Alexandria via LeMat-Bulk).

Lattice parameters (Å, degrees): 5.3313 5.3396 7.0994 89.98 90.01 92.03
Positions (direct):
O 0.2925 0.2914 0.4988
O 0.7455 0.7477 0.9979
O 0.8345 0.1697 0.7946
O 0.1689 0.8328 0.7953
O 0.7075 0.7086 0.5012
O 0.8311 0.1672 0.2047
O 0.2545 0.2523 0.0021
O 0.1655 0.8303 0.2054
Ac 0.4984 0.4978 0.7541
Ac 0.5016 0.5022 0.2459
I 0.0000 0.0000 0.0000
Tm 0.0000 0.0000 0.5000

For the uncorrected formation energy, the calculation gives -2.24 eV/atom. The calculation puts the uncorrected energy at -0.495 Ry/atom.

***

Entry 10:
# AcTmIO6

Crystalline AcTmIO6 at its relaxed geometry (PBE, Alexandria via LeMat-Bulk).

Lattice parameters (Å, degrees): 5.2977 5.6387 5.6387 120.00 90.00 90.00
Last column: magnetic moment on the atom in μB.
Positions (direct):
O 0.7143 0.9824 0.2878  0.09
O 0.2857 0.9824 0.6946  0.09
O 0.2857 0.7122 0.0176  0.09
O 0.2857 0.3054 0.2878  0.09
O 0.7143 0.3054 0.0176  0.09
O 0.7143 0.7122 0.6946  0.09
Ac 0.0000 0.3333 0.6667  0.02
I 0.5000 0.0000 0.0000  0.10
Tm 0.5000 0.6667 0.3333  0.01

For the uncorrected formation energy, the calculation gives -2.10 eV/atom. The calculation puts the uncorrected energy at -0.480 Ry/atom.

***

Entry 11:
# AcTm2IO8

Crystalline AcTm2IO8 at its relaxed geometry (PBE, Alexandria via LeMat-Bulk).

Lattice parameters (Å, degrees): 5.0405 5.0437 7.0844 90.00 90.00 88.40
Positions (direct):
Tm 0.5000 0.5000 0.7491
Tm 0.5000 0.5000 0.2509
O 0.2654 0.2643 0.0000
O 0.1882 0.8110 0.8057
O 0.3274 0.3246 0.5000
O 0.8118 0.1890 0.1943
O 0.8119 0.1890 0.8057
O 0.1881 0.8110 0.1943
O 0.6726 0.6754 0.5000
O 0.7346 0.7357 0.0000
I 0.0000 0.0000 0.0000
Ac 0.0000 0.0000 0.5000

For the uncorrected formation energy, the calculation gives -2.31 eV/atom. The calculation puts the uncorrected energy at -0.502 Ry/atom.

***

Entry 12:
# AcTmI2O8

Crystalline AcTmI2O8 at its relaxed geometry (PBE, Alexandria via LeMat-Bulk).

Lattice parameters (Å, degrees): 6.2454 6.2454 7.0953 90.00 90.00 120.00
Positions (direct):
O 0.1502 0.8498 0.7849
O 0.3004 0.1502 0.2151
O 0.3333 0.6667 0.5273
O 0.8498 0.1502 0.2151
O 0.6996 0.8498 0.7849
O 0.1502 0.3004 0.7849
O 0.8498 0.6996 0.2151
O 0.6667 0.3333 0.4727
I 0.3333 0.6667 0.7819
I 0.6667 0.3333 0.2181
Tm 0.0000 0.0000 0.0000
Ac 0.0000 0.0000 0.5000

For the uncorrected formation energy, the calculation gives -1.61 eV/atom. The calculation puts the uncorrected energy at -0.433 Ry/atom.

***

Entry 13:
# AcUIO4

Crystalline AcUIO4 at its relaxed geometry (PBE, Alexandria via LeMat-Bulk).

Lattice parameters (Å, degrees): 7.0824 7.0824 6.9320 87.61 87.61 62.76
Last column: magnetic moment on the atom in μB.
Positions (direct):
U 0.6177 0.6177 0.6458  0.31
U 0.3823 0.3823 0.3542  0.31
O 0.4479 0.4479 0.6768  -0.01
O 0.1461 0.5074 0.1532  -0.01
O 0.5521 0.5521 0.3232  -0.01
O 0.4926 0.8539 0.8468  -0.01
O 0.2476 0.2476 0.5115  -0.01
O 0.5074 0.1461 0.1532  -0.01
O 0.7524 0.7524 0.4885  -0.01
O 0.8539 0.4926 0.8468  -0.01
Ac 0.2465 0.2465 0.8782  0.00
Ac 0.7535 0.7535 0.1218  0.00
I 0.9732 0.9732 0.7506  0.00
I 0.0268 0.0268 0.2494  0.00

For the uncorrected formation energy, the calculation gives -2.77 eV/atom. The calculation puts the uncorrected energy at -0.589 Ry/atom.